(1)
The following is a DFT calculation (SCAN) of a crystal of LaCeIn6 relaxed with PBEsol.

Unit cell a=4.650 b=4.650 c=9.305 alpha=90.00 beta=90.00 gamma=90.00
Fractional coordinates of all 8 atoms:
1 La 0.000 0.000 0.000
2 Ce 0.000 0.000 0.500
3 In 0.000 0.500 0.254
4 In 0.000 0.500 0.746
5 In 0.500 0.000 0.254
6 In 0.500 0.000 0.746
7 In 0.500 0.500 0.000
8 In 0.500 0.500 0.500

Properties
Spin magnetization: 1.07 μB per cell
E_form: -0.56 eV per atom
SG: P4/mmm, No. 123
Theoretical density: 7988 kg/m³

(2)
The following is a DFT calculation (SCAN) of a crystal of SrY2Ta relaxed with PBEsol.

Unit cell a=6.635 b=6.635 c=6.635 alpha=147.40 beta=131.08 gamma=60.03
Fractional coordinates of all 4 atoms:
1 Sr 0.000 0.000 0.000
2 Y 0.430 0.430 0.000
3 Y 0.715 0.215 0.500
4 Ta 0.234 0.734 0.500

Properties
Spin magnetization: 3.23 μB per cell
E_form: 0.65 eV per atom
SG: Imm2, No. 44
Theoretical density: 6303 kg/m³

(3)
The following is a DFT calculation (SCAN) of a crystal of ScRe2PtBr relaxed with PBEsol.

Unit cell a=4.517 b=4.517 c=4.689 alpha=90.00 beta=90.00 gamma=90.00
Fractional coordinates of all 5 atoms:
1 Sc 0.000 0.000 0.000
2 Re 0.000 0.500 0.500
3 Re 0.500 0.000 0.500
4 Pt 0.500 0.500 0.000
5 Br 0.500 0.500 0.500

Properties
Spin magnetization: 0.00 μB per cell
Formation energy without anion corrections: 8.06 eV per formula unit
SG: P4/mmm, No. 123
Theoretical density: 12019 kg/m³

(4)
The following is a DFT calculation (SCAN) of a crystal of LiIn2Ag relaxed with PBEsol.

Unit cell a=4.929 b=4.929 c=5.553 alpha=99.70 beta=99.70 gamma=37.08
Fractional coordinates of all 4 atoms:
1 Li 0.000 0.000 0.000
2 In 0.248 0.248 0.748
3 In 0.752 0.752 0.252
4 Ag 0.500 0.500 0.500

Properties
Spin magnetization: 0.00 μB per cell
E_form: -0.13 eV per atom
SG: C2/m, No. 12
Theoretical density: 7146 kg/m³

(5)
The following is a DFT calculation (SCAN) of a crystal of ScTaBe2 relaxed with PBEsol.

Unit cell a=4.358 b=4.358 c=4.358 alpha=60.00 beta=60.00 gamma=60.00
Fractional coordinates of all 4 atoms:
1 Sc 0.000 0.000 0.000
2 Ta 0.250 0.250 0.250
3 Be 0.500 0.500 0.500
4 Be 0.750 0.750 0.750

Properties
Spin magnetization: 3.06 μB per cell
E_form: 0.62 eV per atom
SG: F-43m, No. 216
Theoretical density: 6923 kg/m³

(6)
The following is a DFT calculation (SCAN) of a crystal of CaLaTe2 relaxed with PBEsol.

Unit cell a=5.444 b=5.444 c=5.444 alpha=60.00 beta=60.00 gamma=60.00
Fractional coordinates of all 4 atoms:
1 Ca 0.000 0.000 0.000
2 La 0.250 0.250 0.250
3 Te 0.500 0.500 0.500
4 Te 0.750 0.750 0.750

Properties
Spin magnetization: 0.00 μB per cell
Formation energy without anion corrections: -2.74 eV per formula unit
SG: F-43m, No. 216
Theoretical density: 6321 kg/m³